Record 1
## Tb5Pm2YHo (PBE)

Data for crystalline Tb5Pm2YHo at its relaxed geometry.

Cell and atoms, written as CIF:
```
data_Tb5Pm2YHo
_space_group_name_H-M_alt 'I 4/m c m'
_space_group_IT_number 140
_space_group_name_Hall '-I 4 2c'
_cell_length_a 8.627
_cell_length_b 8.627
_cell_length_c 15.815
_cell_angle_alpha 90.00
_cell_angle_beta 90.00
_cell_angle_gamma 90.00
loop_
_atom_site_label
_atom_site_type_symbol
_atom_site_fract_x
_atom_site_fract_y
_atom_site_fract_z
_atom_site_occupancy
Tb1 Tb 0.000 0.000 0.000 1
Tb2 Tb 0.212 0.288 0.140 1
Pm1 Pm 0.118 0.382 0.500 1
Y1 Y 0.000 0.000 0.250 1
Ho1 Ho 0.000 0.500 0.250 1
```

Record 2
## Tb3PmY2Ho6 (PBE)

Data for crystalline Tb3PmY2Ho6 at its relaxed geometry.

Cell and atoms, written as CIF:
```
data_Tb3PmY2Ho6
_space_group_name_H-M_alt 'C 1 2/m 1'
_space_group_IT_number 12
_cell_length_a 6.153
_cell_length_b 10.648
_cell_length_c 11.769
_cell_angle_alpha 90.00
_cell_angle_beta 99.98
_cell_angle_gamma 90.00
loop_
_space_group_symop_operation_xyz
'x,y,z'
'-x,-y,-z'
'-x,y,-z'
'x,-y,z'
'x+1/2,y+1/2,z'
'-x+1/2,-y+1/2,-z'
'-x+1/2,y+1/2,-z'
'x+1/2,-y+1/2,z'
loop_
_atom_site_label
_atom_site_type_symbol
_atom_site_fract_x
_atom_site_fract_y
_atom_site_fract_z
_atom_site_occupancy
Tb1 Tb 0.000 0.000 0.000 1
Tb2 Tb 0.000 0.333 0.000 1
Pm1 Pm 0.000 0.500 0.500 1
Y1 Y 0.000 0.167 0.500 1
Ho1 Ho 0.249 0.167 0.249 1
Ho2 Ho 0.249 0.500 0.249 1
```

Record 3
## Tb2Pm3Y6Ho (PBE)

Data for crystalline Tb2Pm3Y6Ho at its relaxed geometry.

Cell and atoms, written as CIF:
```
data_Tb2Pm3Y6Ho
_space_group_name_H-M_alt 'C 1 2/m 1'
_space_group_IT_number 12
_cell_length_a 6.217
_cell_length_b 10.760
_cell_length_c 11.849
_cell_angle_alpha 90.00
_cell_angle_beta 100.02
_cell_angle_gamma 90.00
loop_
_space_group_symop_operation_xyz
'x,y,z'
'-x,-y,-z'
'-x,y,-z'
'x,-y,z'
'x+1/2,y+1/2,z'
'-x+1/2,-y+1/2,-z'
'-x+1/2,y+1/2,-z'
'x+1/2,-y+1/2,z'
loop_
_atom_site_label
_atom_site_type_symbol
_atom_site_fract_x
_atom_site_fract_y
_atom_site_fract_z
_atom_site_occupancy
Tb1 Tb 0.000 0.167 0.000 1
Pm1 Pm 0.000 0.000 0.500 1
Pm2 Pm 0.000 0.333 0.500 1
Y1 Y 0.249 0.333 0.248 1
Y2 Y 0.250 0.000 0.248 1
Ho1 Ho 0.000 0.500 0.000 1
```

Calculated DFT formation energy (eV/atom), listed in the same order as above: 0.27; 0.02; 0.02
Calculated volume (Å³/atom), listed in the same order as above: 32.70; 31.64; 32.52